This record from Alexandria via LeMat-Bulk describes a relaxed KBaUSe4 crystal. The functional is PBE-GGA.

Energy relative to the elements, uncorrected, eV/atom: -1.4166
ρ, Mg/m³: 4.9

Unit cell a=5.4576 b=5.4576 c=16.4538 alpha=90.00 beta=90.00 gamma=90.00
Space group I4mm (No. 107)
Unique sites:
K 0.0000 0.0000 0.0000 x2
Ba 0.0000 0.0000 0.7200 x2
U 0.0000 0.0000 0.3608 x2
Se 0.0000 0.0000 0.1962 x2
Se 0.0000 0.0000 0.5227 x2
Se 0.0000 0.5000 0.3545 x4



This record from Alexandria via LeMat-Bulk describes a relaxed NaInPCl2 crystal. The functional is PBE-GGA.

Energy relative to the elements, uncorrected, eV/atom: -0.1449
Energy relative to the lowest polymorph listed for this composition, eV/atom: 0.2937
ρ, Mg/m³: 2.6

Unit cell a=5.2857 b=5.2857 c=5.4580 alpha=90.00 beta=90.00 gamma=90.00
Space group P4/mmm (No. 123)
Unique sites:
Na 0.0000 0.0000 0.0000 x1
In 0.5000 0.5000 0.5000 x1
P 0.0000 0.0000 0.5000 x1
Cl 0.0000 0.5000 0.0000 x2



This record from Alexandria via LeMat-Bulk describes a relaxed Dy2RuCl crystal. The functional is PBE-GGA.

Energy relative to the elements, uncorrected, eV/atom: -0.8618
Energy relative to the lowest polymorph listed for this composition, eV/atom: 0.1154
ρ, Mg/m³: 7.7

Unit cell a=3.9244 b=3.9244 c=22.3045 alpha=90.00 beta=90.00 gamma=120.00
Space group R-3m (No. 166, hexagonal axes)
Unique sites:
Dy 0.0000 0.0000 0.2345 x6
Ru 0.0000 0.0000 0.5000 x3
Cl 0.0000 0.0000 0.0000 x3



This record from Alexandria via LeMat-Bulk describes a relaxed Ba2NiAg crystal. The functional is PBE-GGA.

Calculated formation energy, eV per formula unit: 0.74
Energy relative to the lowest polymorph listed for this composition, eV/atom: 0.2364
ρ, Mg/m³: 5.6

Unit cell a=3.7900 b=3.7900 c=9.1658 alpha=90.00 beta=90.00 gamma=90.00
Space group P4mm (No. 99)
Unique sites:
Ba 0.0000 0.0000 0.0000 x1
Ba 0.5000 0.5000 0.4328 x1
Ni 0.0000 0.0000 0.6749 x1
Ag 0.5000 0.5000 0.7657 x1



This record from Alexandria via LeMat-Bulk describes a relaxed Ac5Nd2Tm crystal. The functional is PBE-GGA.

Calculated formation energy, eV per formula unit: 1.45
ρ, Mg/m³: 7.9

Unit cell a=9.6833 b=11.3710 c=13.0496 alpha=90.00 beta=111.76 gamma=90.00
Space group P2_1/c (No. 14)
Unique sites:
Ac 0.0355 0.1605 0.0516 x4
Ac 0.1789 0.6099 0.7789 x4
Ac 0.1997 0.2130 0.3648 x4
Ac 0.3543 0.7252 0.0913 x4
Ac 0.3613 0.1288 0.6679 x4
Nd 0.1872 0.5568 0.3048 x4
Nd 0.4191 0.0654 0.0960 x4
Tm 0.0000 0.0000 0.5000 x2
Tm 0.5000 0.0000 0.5000 x2



This record from Alexandria via LeMat-Bulk describes a relaxed TiSbPt2I crystal. The functional is PBE-GGA.

Energy relative to the elements, uncorrected, eV/atom: 0.5089
ρ, Mg/m³: 9.3

Unit cell a=4.8744 b=4.8744 c=5.1803 alpha=90.00 beta=90.00 gamma=90.00
Space group P4/mmm (No. 123)
Unique sites:
Ti 0.0000 0.0000 0.0000 x1
Sb 0.5000 0.5000 0.5000 x1
Pt 0.0000 0.5000 0.0000 x2
I 0.0000 0.0000 0.5000 x1



This record from Alexandria via LeMat-Bulk describes a relaxed KMg4In8 crystal. The functional is PBE-GGA.

Calculated formation energy, eV per formula unit: 1.27
Energy relative to the lowest polymorph listed for this composition, eV/atom: 0.1765
ρ, Mg/m³: 4.5

Unit cell a=7.3178 b=7.3178 c=7.3178 alpha=90.00 beta=90.00 gamma=90.00
Space group Pm-3m (No. 221)
Unique sites:
K 0.0000 0.0000 0.0000 x1
Mg 0.0000 0.5000 0.5000 x3
Mg 0.5000 0.5000 0.5000 x1
In 0.2639 0.2639 0.2639 x8



This record from Alexandria via LeMat-Bulk describes a relaxed NaFeCuBr5 crystal. The functional is PBE-GGA.

Energy relative to the elements, uncorrected, eV/atom: -0.6620
ρ, Mg/m³: 3.8

Unit cell a=9.6966 b=11.5788 c=8.9648 alpha=90.00 beta=110.06 gamma=90.00
Space group C2/c (No. 15)
Unique sites:
Na 0.0000 0.1640 0.2500 x4
Fe 0.0000 0.1672 0.7500 x4
Cu 0.0000 0.5000 0.0000 x4
Br 0.0000 0.4217 0.2500 x4
Br 0.1207 0.2882 0.6197 x8
Br 0.1712 0.0484 0.9397 x8



This record from Alexandria via LeMat-Bulk describes a relaxed TaReAs2 crystal. The functional is PBE-GGA.

Calculated formation energy, eV per formula unit: 0.91
Energy relative to the lowest polymorph listed for this composition, eV/atom: 0.3208
ρ, Mg/m³: 13.1

Unit cell a=4.1297 b=4.1297 c=7.6930 alpha=90.00 beta=90.00 gamma=90.00
Space group I-4m2 (No. 119)
Unique sites:
Ta 0.0000 0.0000 0.0000 x2
Re 0.0000 0.5000 0.2500 x2
As 0.0000 0.0000 0.5000 x2
As 0.0000 0.5000 0.7500 x2



This record from Alexandria via LeMat-Bulk describes a relaxed Cs3Np2GaTe6 crystal. The functional is PBE-GGA.

Energy relative to the elements, uncorrected, eV/atom: -0.7739
ρ, Mg/m³: 5.8

Unit cell a=8.0746 b=13.9626 c=9.1335 alpha=90.00 beta=106.98 gamma=90.00
Space group C2/m (No. 12)
Unique sites:
Cs 0.0000 0.0000 0.0000 x2
Cs 0.0000 0.3409 0.0000 x4
Np 0.0000 0.1674 0.5000 x4
Ga 0.0000 0.5000 0.5000 x2
Te 0.2122 0.0000 0.6814 x4
Te 0.2368 0.3253 0.6857 x8